[1]
This record from Alexandria via LeMat-Bulk describes CaGaTe2O after structural relaxation. The functional is PBE.

Cell: 5.7260 5.7260 6.3098 Å, 90.00 90.00 90.00°
Closest atoms and distances in Å follow each position.
Element x y z (fractional)
Ca 0.0000 0.0000 0.0000  4 Te 2.86, 2 Ga 3.15
Ga 0.0000 0.0000 0.5000  2 Ca 3.15
Te 0.0000 0.5000 0.0000  2 Ca 2.86
Te 0.5000 0.0000 0.0000  2 Ca 2.86
O 0.5000 0.5000 0.5000  4 Ga 4.05, 8 Te 4.26

Calculated values
Fermi-level density of states (states/eV/atom): 3.214
ρ (kg/m³): 3058
Raw formation energy (eV/atom): 0.6412

***

[2]
This record from Alexandria via LeMat-Bulk describes CaGa2TeO8 after structural relaxation. The functional is PBE.

Cell: 5.8315 5.8315 5.8315 Å, 107.85 107.85 112.77°
Closest atoms and distances in Å follow each position.
Element x y z (fractional)
Ca 0.0000 0.0000 0.0000  8 O 2.27-2.47
Ga 0.2500 0.7500 0.5000  4 O 1.85
Ga 0.5000 0.5000 0.0000  4 O 1.87
Te 0.7500 0.2500 0.5000  8 O 2.05-2.15
O 0.0286 0.3581 0.3295  1 Ga 1.85
O 0.0286 0.6990 0.6705  1 Ga 1.85
O 0.1056 0.3131 0.7925  1 Ga 1.87, 1 Te 2.05
O 0.3010 0.9714 0.3295  1 Ga 1.85
O 0.5206 0.3131 0.2075  1 Ga 1.87, 1 Te 2.05
O 0.6419 0.9714 0.6705  1 Ga 1.85
O 0.6869 0.4794 0.7925  1 Ga 1.87, 1 Te 2.05
O 0.6869 0.8944 0.2075  1 Ga 1.87, 1 Te 2.05

Calculated values
Fermi-level density of states (states/eV/atom): 0.622
ρ (kg/m³): 4745
Raw formation energy (eV/atom): -1.1933

***

[3]
This record from Alexandria via LeMat-Bulk describes CaGaTe2O6 after structural relaxation. The functional is PBE.

Cell: 7.8183 7.8183 5.7595 Å, 99.25 99.25 100.21°
Closest atoms and distances in Å follow each position.
Element x y z (fractional)
Ca 0.0860 0.9140 0.7500  6 O 2.35-2.47
Ca 0.9140 0.0860 0.2500  6 O 2.35-2.47
Ga 0.1872 0.8128 0.2500  4 O 1.85-1.91
Ga 0.8128 0.1872 0.7500  4 O 1.85-1.91
Te 0.2279 0.4572 0.7682  2 O 1.87-2.07
Te 0.4572 0.2279 0.2682  2 O 1.87-2.07
Te 0.5428 0.7721 0.7318  2 O 1.87-2.07
Te 0.7721 0.5428 0.2318  2 O 1.87-2.07
O 0.0374 0.2015 0.6573  1 Ga 1.91
O 0.1565 0.6772 0.9465  1 Ga 1.85, 1 Te 2.07
O 0.2015 0.0374 0.1573  1 Ga 1.91
O 0.3060 0.3946 0.0606  1 Te 1.87
O 0.3228 0.8435 0.5535  1 Ga 1.85, 1 Te 2.07
O 0.3946 0.3060 0.5606  1 Te 1.87
O 0.6054 0.6940 0.4394  1 Te 1.87
O 0.6772 0.1565 0.4465  1 Ga 1.85, 1 Te 2.07
O 0.6940 0.6054 0.9394  1 Te 1.87
O 0.7985 0.9626 0.8427  1 Ga 1.91
O 0.8435 0.3228 0.0535  1 Ga 1.85, 1 Te 2.07
O 0.9626 0.7985 0.3427  1 Ga 1.91

Calculated values
Fermi-level density of states (states/eV/atom): 0.229
ρ (kg/m³): 4565
Raw formation energy (eV/atom): -1.4303

***

[4]
This record from Alexandria via LeMat-Bulk describes Ca2TiGaO6 after structural relaxation. The functional is PBE.

Cell: 5.4212 5.5218 9.4099 Å, 90.00 125.03 90.00°
Closest atoms and distances in Å follow each position.
Element x y z (fractional)
Ca 0.2387 0.0447 0.2487  6 O 2.37-2.61
Ca 0.2387 0.4553 0.7487  6 O 2.37-2.61
Ca 0.7613 0.5447 0.2513  6 O 2.37-2.61
Ca 0.7613 0.9553 0.7513  6 O 2.37-2.61
Ti 0.5000 0.0000 0.0000  6 O 1.96-1.97
Ti 0.5000 0.5000 0.5000  6 O 1.96-1.97
Ga 0.0000 0.0000 0.5000  6 O 1.99-2.00
Ga 0.0000 0.5000 0.0000  6 O 1.99-2.00
O 0.1704 0.2087 0.9601  1 Ti 1.97, 1 Ga 1.99
O 0.1704 0.2913 0.4601  1 Ti 1.97, 1 Ga 1.99
O 0.2529 0.7129 0.9592  1 Ti 1.97, 1 Ga 2.00
O 0.2529 0.7871 0.4592  1 Ti 1.97, 1 Ga 2.00
O 0.3292 0.0201 0.7514  1 Ti 1.96, 1 Ga 1.99
O 0.3292 0.4799 0.2514  1 Ti 1.96, 1 Ga 1.99
O 0.6708 0.5201 0.7486  1 Ti 1.96, 1 Ga 1.99
O 0.6708 0.9799 0.2486  1 Ti 1.96, 1 Ga 1.99
O 0.7471 0.2129 0.5408  1 Ti 1.97, 1 Ga 2.00
O 0.7471 0.2871 0.0408  1 Ti 1.97, 1 Ga 2.00
O 0.8296 0.7087 0.5399  1 Ti 1.97, 1 Ga 1.99
O 0.8296 0.7913 0.0399  1 Ti 1.97, 1 Ga 1.99

Calculated values
Fermi-level density of states (states/eV/atom): 0.884
ρ (kg/m³): 4230
Raw formation energy (eV/atom): -2.5484

***

[5]
This record from Alexandria via LeMat-Bulk describes Ca2TlGaO after structural relaxation. The functional is PBE.

Cell: 4.6788 4.6788 5.0155 Å, 90.00 90.00 90.00°
Closest atoms and distances in Å follow each position.
Element x y z (fractional)
Ca 0.0000 0.5000 0.0000  2 O 2.34
Ca 0.5000 0.0000 0.0000  2 O 2.34
Tl 0.0000 0.0000 0.5000  4 Ga 3.31, 8 Ca 3.43
Ga 0.5000 0.5000 0.5000  2 O 2.51
O 0.5000 0.5000 0.0000  4 Ca 2.34, 2 Ga 2.51

Calculated values
Fermi-level density of states (states/eV/atom): 0.378
ρ (kg/m³): 5600
Raw formation energy (eV/atom): -1.1201

***

[6]
This record from Alexandria via LeMat-Bulk describes Ca2TlGaO5 after structural relaxation. The functional is PBE.

Cell: 6.9386 6.9386 10.8297 Å, 90.00 90.00 151.91°
Closest atoms and distances in Å follow each position.
Element x y z (fractional)
Ca 0.0866 0.9134 0.5000  6 O 2.34-2.54
Ca 0.1495 0.8505 0.1573  7 O 2.43-2.61
Ca 0.8505 0.1495 0.6573  7 O 2.43-2.61
Ca 0.9134 0.0866 0.0000  6 O 2.34-2.54
Tl 0.2168 0.7832 0.8764  6 O 2.27-2.34
Tl 0.7832 0.2168 0.3764  6 O 2.27-2.34
Ga 0.4657 0.5343 0.2714  4 O 1.86-2.03
Ga 0.5343 0.4657 0.7714  4 O 1.86-2.03
O 0.0438 0.9562 0.8572  2 Ga 1.93
O 0.2674 0.7326 0.5224  2 Tl 2.32, 3 Ca 2.45-2.49
O 0.3171 0.6829 0.2404  1 Ga 2.03
O 0.3812 0.6188 0.8292  1 Ga 2.15, 1 Tl 2.27
O 0.4932 0.5068 0.6076  1 Ga 1.86
O 0.5068 0.4932 0.1076  1 Ga 1.86
O 0.6188 0.3812 0.3292  1 Ga 2.15, 1 Tl 2.27
O 0.6829 0.3171 0.7404  1 Ga 2.03
O 0.7326 0.2674 0.0224  2 Tl 2.32, 3 Ca 2.45-2.49
O 0.9562 0.0438 0.3572  2 Ga 1.93

Calculated values
ρ (kg/m³): 5875
Raw formation energy (eV/atom): -1.9907

***

[7]
This record from Alexandria via LeMat-Bulk describes CaTmGaO4 after structural relaxation. The functional is PBE.

Cell: 6.4365 6.4365 6.4365 Å, 121.46 118.70 89.88°
Closest atoms and distances in Å follow each position.
Element x y z (fractional)
Ca 0.5000 0.0000 0.0000  6 O 2.33-2.34
Ca 0.5000 0.5000 0.5000  6 O 2.33-2.34
Tm 0.0000 0.0000 0.0000  6 O 2.24-2.26
Tm 0.5000 0.0000 0.5000  6 O 2.24-2.26
Ga 0.1163 0.3663 0.7500  4 O 1.91-1.97
Ga 0.8837 0.6337 0.2500  4 O 1.91-1.97
O 0.2337 0.2456 0.9882  1 Ga 1.91
O 0.2435 0.2405 0.4970  1 Ga 1.97
O 0.2435 0.7465 0.0030  1 Ga 1.97
O 0.2426 0.7544 0.4882  1 Ga 1.91
O 0.7574 0.2456 0.5118  1 Ga 1.91
O 0.7565 0.2535 0.9970  1 Ga 1.97
O 0.7565 0.7595 0.5030  1 Ga 1.97
O 0.7663 0.7544 0.0118  1 Ga 1.91

Calculated values
Fermi-level density of states (states/eV/atom): 0.000
ρ (kg/m³): 6048
Raw formation energy (eV/atom): -2.7205

***

[8]
This record from Alexandria via LeMat-Bulk describes Ca2UGaO6 after structural relaxation. The functional is PBE.

Cell: 5.6039 5.6039 4.5601 Å, 90.00 90.00 90.00°
Closest atoms and distances in Å follow each position.
Element x y z (fractional)
Ca 0.0000 0.5000 0.0000  4 O 2.47
Ca 0.5000 0.0000 0.0000  4 O 2.47
U 0.0000 0.0000 0.6021  5 O 2.08-2.20
Ga 0.5000 0.5000 0.5635  5 O 1.84-1.98
O 0.0000 0.0000 0.1186  2 U 2.20-2.36
O 0.2590 0.2590 0.6763  1 Ga 1.98, 1 U 2.08
O 0.2590 0.7410 0.6763  1 Ga 1.98, 1 U 2.08
O 0.5000 0.5000 0.1610  1 Ga 1.84
O 0.7410 0.2590 0.6763  1 Ga 1.98, 1 U 2.08
O 0.7410 0.7410 0.6763  1 Ga 1.98, 1 U 2.08

Calculated values
ρ (kg/m³): 5611
Raw formation energy (eV/atom): -2.6817